# 1
Computed, not measured: Ca2Sc at its PBEsol-relaxed geometry at the meta-GGA SCAN level of DFT.

- formation energy (eV per formula unit) = 0.6
- final energy (eV/atom) = -11.0019
- calculated density (kg/m³) = 2068
- total moment (μB/cell) = 1.38
- offset from the most stable computed form (meV/atom) = 0.0

a b c (Å): 3.608 3.608 15.435
angles (deg): 90.00 90.00 90.00
Sites, in units of the cell vectors:
Ca 0.000 0.000 0.155
Ca 0.000 0.000 0.845
Ca 0.500 0.500 0.345
Ca 0.500 0.500 0.655
Sc 0.000 0.000 0.500
Sc 0.500 0.500 0.000



# 2
Computed, not measured: TaGe3N at its PBEsol-relaxed geometry at the meta-GGA SCAN level of DFT.

- ΔE_f (raw) (meV per atom) = 825
- final energy (eV/atom) = -25.8020
- calculated density (kg/m³) = 9348
- total moment (μB/cell) = 0.00

a b c (Å): 4.186 4.186 4.186
angles (deg): 90.00 90.00 90.00
Sites, in units of the cell vectors:
Ta 0.000 0.000 0.000
Ge 0.000 0.500 0.500
Ge 0.500 0.000 0.500
Ge 0.500 0.500 0.000
N 0.500 0.500 0.500



# 3
Computed, not measured: ZnInSbI2 at its PBEsol-relaxed geometry at the meta-GGA SCAN level of DFT.

- ΔE_f (raw) (meV per atom) = 127
- final energy (eV/atom) = -31.4021
- calculated density (kg/m³) = 5741
- total moment (μB/cell) = 0.00

a b c (Å): 5.583 5.583 5.157
angles (deg): 90.00 90.00 90.00
Sites, in units of the cell vectors:
Zn 0.000 0.000 0.000
In 0.500 0.500 0.500
Sb 0.000 0.000 0.500
I 0.000 0.500 0.000
I 0.500 0.000 0.000



# 4
Computed, not measured: Sc2Os at its PBEsol-relaxed geometry at the meta-GGA SCAN level of DFT.

- formation energy (eV per formula unit) = -1.3
- final energy (eV/atom) = -33.8797
- calculated density (kg/m³) = 8405
- total moment (μB/cell) = 0.00

a b c (Å): 3.273 14.309 4.727
angles (deg): 90.00 90.00 90.00
Sites, in units of the cell vectors:
Sc 0.000 0.072 0.250
Sc 0.000 0.219 0.750
Sc 0.000 0.781 0.250
Sc 0.000 0.928 0.750
Sc 0.500 0.281 0.250
Sc 0.500 0.428 0.750
Sc 0.500 0.572 0.250
Sc 0.500 0.719 0.750
Os 0.000 0.422 0.250
Os 0.000 0.578 0.750
Os 0.500 0.078 0.750
Os 0.500 0.922 0.250



# 5
Computed, not measured: TcHg3Au at its PBEsol-relaxed geometry at the meta-GGA SCAN level of DFT.

- formation energy (eV per formula unit) = 4.6
- final energy (eV/atom) = -60.8267
- calculated density (kg/m³) = 10765
- total moment (μB/cell) = 3.09

a b c (Å): 5.172 5.172 5.172
angles (deg): 90.00 90.00 90.00
Sites, in units of the cell vectors:
Tc 0.000 0.000 0.000
Hg 0.000 0.000 0.500
Hg 0.000 0.500 0.000
Hg 0.500 0.000 0.000
Au 0.500 0.500 0.500



# 6
Computed, not measured: Mg2TaTe at its PBEsol-relaxed geometry at the meta-GGA SCAN level of DFT.

- ΔE_f (raw) (meV per atom) = 222
- final energy (eV/atom) = -28.2237
- calculated density (kg/m³) = 7383
- total moment (μB/cell) = 0.00

a b c (Å): 3.595 3.846 5.809
angles (deg): 90.00 90.00 90.00
Sites, in units of the cell vectors:
Mg 0.000 0.000 0.237
Mg 0.000 0.000 0.763
Ta 0.500 0.500 0.000
Te 0.500 0.500 0.500



# 7
Computed, not measured: ScAlRh2 at its PBEsol-relaxed geometry at the meta-GGA SCAN level of DFT.

- formation energy (eV per formula unit) = -3.6
- final energy (eV/atom) = -23.2951
- calculated density (kg/m³) = 7633
- total moment (μB/cell) = 0.00

a b c (Å): 2.922 3.951 5.233
angles (deg): 90.00 90.00 90.00
Sites, in units of the cell vectors:
Sc 0.000 0.000 0.000
Al 0.500 0.500 0.319
Rh 0.000 0.000 0.487
Rh 0.500 0.500 0.806



# 8
Computed, not measured: Sr2ScSi at its PBEsol-relaxed geometry at the meta-GGA SCAN level of DFT.

- ΔE_f (raw) (meV per atom) = -157
- final energy (eV/atom) = -17.3574
- calculated density (kg/m³) = 3263
- total moment (μB/cell) = 1.19

a b c (Å): 3.732 3.732 9.072
angles (deg): 90.00 90.00 90.00
Sites, in units of the cell vectors:
Sr 0.000 0.000 0.000
Sr 0.500 0.500 0.375
Sc 0.000 0.000 0.659
Si 0.500 0.500 0.743



# 9
Computed, not measured: FeTeAsN2 at its PBEsol-relaxed geometry at the meta-GGA SCAN level of DFT.

- ΔE_f (raw) (meV per atom) = 1333
- final energy (eV/atom) = -17.4976
- calculated density (kg/m³) = 5560
- total moment (μB/cell) = 4.50

a b c (Å): 3.672 3.672 6.343
angles (deg): 90.00 90.00 90.00
Sites, in units of the cell vectors:
Fe 0.000 0.000 0.000
Te 0.500 0.500 0.000
As 0.500 0.500 0.500
N 0.000 0.500 0.500
N 0.500 0.000 0.500



# 10
Computed, not measured: Fe2MoCl at its PBEsol-relaxed geometry at the meta-GGA SCAN level of DFT.

- ΔE_f (raw) (meV per atom) = 814
- final energy (eV/atom) = -18.9667
- calculated density (kg/m³) = 7994
- total moment (μB/cell) = 18.22
- offset from the most stable computed form (meV/atom) = 111.8

a b c (Å): 5.867 5.867 5.867
angles (deg): 90.00 90.00 90.00
Sites, in units of the cell vectors:
Fe 0.000 0.000 0.000
Fe 0.000 0.500 0.500
Fe 0.250 0.250 0.250
Fe 0.250 0.750 0.750
Fe 0.500 0.000 0.500
Fe 0.500 0.500 0.000
Fe 0.750 0.250 0.750
Fe 0.750 0.750 0.250
Mo 0.000 0.000 0.500
Mo 0.000 0.500 0.000
Mo 0.500 0.000 0.000
Mo 0.500 0.500 0.500
Cl 0.250 0.250 0.750
Cl 0.250 0.750 0.250
Cl 0.750 0.250 0.250
Cl 0.750 0.750 0.750



# 11
Computed, not measured: Y4C3 at its PBEsol-relaxed geometry at the meta-GGA SCAN level of DFT.

- formation energy (eV per formula unit) = -1.8
- final energy (eV/atom) = -20.4903
- calculated density (kg/m³) = 5168
- total moment (μB/cell) = 0.00
- offset from the most stable computed form (meV/atom) = 0.0

a b c (Å): 5.011 5.011 5.011
angles (deg): 90.00 90.00 90.00
Sites, in units of the cell vectors:
Y 0.000 0.000 0.000
Y 0.000 0.500 0.500
Y 0.500 0.000 0.500
Y 0.500 0.500 0.000
C 0.000 0.000 0.500
C 0.000 0.500 0.000
C 0.500 0.000 0.000



# 12
Computed, not measured: HfBiAsBr2 at its PBEsol-relaxed geometry at the meta-GGA SCAN level of DFT.

- ΔE_f (raw) (meV per atom) = 624
- final energy (eV/atom) = -39.4482
- calculated density (kg/m³) = 7174
- total moment (μB/cell) = 1.29

a b c (Å): 4.993 4.993 5.777
angles (deg): 90.00 90.00 90.00
Sites, in units of the cell vectors:
Hf 0.000 0.000 0.000
Bi 0.500 0.500 0.000
As 0.500 0.500 0.500
Br 0.000 0.500 0.500
Br 0.500 0.000 0.500



# 13
Computed, not measured: SrAlZn2 at its PBEsol-relaxed geometry at the meta-GGA SCAN level of DFT.

- formation energy (eV per formula unit) = -1.1
- final energy (eV/atom) = -14.5327
- calculated density (kg/m³) = 4553
- total moment (μB/cell) = 0.00

a b c (Å): 4.339 4.339 16.466
angles (deg): 90.00 90.00 120.00
Sites, in units of the cell vectors:
Sr 0.000 0.000 0.000
Sr 0.333 0.667 0.667
Sr 0.667 0.333 0.333
Al 0.000 0.000 0.500
Al 0.333 0.667 0.167
Al 0.667 0.333 0.833
Zn 0.000 0.000 0.203
Zn 0.000 0.000 0.797
Zn 0.333 0.667 0.464
Zn 0.333 0.667 0.870
Zn 0.667 0.333 0.130
Zn 0.667 0.333 0.536



# 14
Computed, not measured: Eu2MoW2O12 at its PBEsol-relaxed geometry at the meta-GGA SCAN level of DFT.

- ΔE_f (raw) (meV per atom) = -2534
- final energy (eV/atom) = -23.5024
- calculated density (kg/m³) = 6664
- total moment (μB/cell) = 23.91

a b c (Å): 6.925 6.925 11.397
angles (deg): 100.76 100.76 111.88
Sites, in units of the cell vectors:
Eu 0.052 0.304 0.093
Eu 0.304 0.052 0.593
Eu 0.696 0.948 0.407
Eu 0.948 0.696 0.907
Mo 0.120 0.880 0.250
Mo 0.880 0.120 0.750
W 0.203 0.491 0.452
W 0.491 0.203 0.952
W 0.509 0.797 0.048
W 0.797 0.509 0.548
O 0.014 0.599 0.222
O 0.025 0.944 0.111
O 0.056 0.975 0.389
O 0.099 0.675 0.574
O 0.204 0.350 0.303
O 0.225 0.626 0.039
O 0.325 0.901 0.926
O 0.332 0.398 0.561
O 0.350 0.204 0.803
O 0.374 0.775 0.461
O 0.398 0.332 0.061
O 0.401 0.986 0.278
O 0.599 0.014 0.722
O 0.602 0.668 0.939
O 0.626 0.225 0.539
O 0.650 0.796 0.197
O 0.668 0.602 0.439
O 0.675 0.099 0.074
O 0.775 0.374 0.961
O 0.796 0.650 0.697
O 0.901 0.325 0.426
O 0.944 0.025 0.611
O 0.975 0.056 0.889
O 0.986 0.401 0.778



# 15
Computed, not measured: Ca2H2Pd at its PBEsol-relaxed geometry at the meta-GGA SCAN level of DFT.

- final energy (eV/atom) = -12.2497
- calculated density (kg/m³) = 4307
- total moment (μB/cell) = 0.00
- offset from the most stable computed form (meV/atom) = 161.0

a b c (Å): 6.840 6.840 3.109
angles (deg): 90.00 90.00 90.00
Sites, in units of the cell vectors:
Ca 0.175 0.325 0.000
Ca 0.325 0.825 0.000
Ca 0.675 0.175 0.000
Ca 0.825 0.675 0.000
H 0.122 0.622 0.500
H 0.378 0.122 0.500
H 0.622 0.878 0.500
H 0.878 0.378 0.500
Pd 0.000 0.000 0.500
Pd 0.500 0.500 0.500



# 16
Computed, not measured: Li3BiPd at its PBEsol-relaxed geometry at the meta-GGA SCAN level of DFT.

- formation energy (eV per formula unit) = -0.6
- final energy (eV/atom) = -23.8199
- calculated density (kg/m³) = 5721
- total moment (μB/cell) = 0.00
- offset from the most stable computed form (meV/atom) = 0.0

a b c (Å): 4.604 4.604 4.604
angles (deg): 90.00 90.00 90.00
Sites, in units of the cell vectors:
Li 0.000 0.000 0.500
Li 0.000 0.500 0.000
Li 0.500 0.000 0.000
Bi 0.500 0.500 0.500
Pd 0.000 0.000 0.000



# 17
Computed, not measured: Co2TeHPt at its PBEsol-relaxed geometry at the meta-GGA SCAN level of DFT.

- final energy (eV/atom) = -27.6532
- calculated density (kg/m³) = 6665
- total moment (μB/cell) = 5.01

a b c (Å): 4.723 4.723 4.931
angles (deg): 90.00 90.00 90.00
Sites, in units of the cell vectors:
Co 0.000 0.500 0.000
Co 0.500 0.000 0.000
Te 0.000 0.000 0.000
H 0.500 0.500 0.500
Pt 0.000 0.000 0.500



# 18
Computed, not measured: CaAuN2O at its PBEsol-relaxed geometry at the meta-GGA SCAN level of DFT.

- ΔE_f (raw) (meV per atom) = 385
- final energy (eV/atom) = -20.3420
- calculated density (kg/m³) = 6970
- total moment (μB/cell) = 2.22

a b c (Å): 3.927 3.927 4.342
angles (deg): 90.00 90.00 90.00
Sites, in units of the cell vectors:
Ca 0.000 0.000 0.000
Au 0.500 0.500 0.500
N 0.000 0.500 0.500
N 0.500 0.000 0.500
O 0.500 0.500 0.000



# 19
Computed, not measured: Fe2CuSiPt at its PBEsol-relaxed geometry at the meta-GGA SCAN level of DFT.

- ΔE_f (raw) (meV per atom) = 1012
- final energy (eV/atom) = -25.3216
- calculated density (kg/m³) = 8158
- total moment (μB/cell) = 6.71

a b c (Å): 4.219 4.219 4.556
angles (deg): 90.00 90.00 90.00
Sites, in units of the cell vectors:
Fe 0.000 0.500 0.000
Fe 0.500 0.000 0.000
Cu 0.000 0.000 0.000
Si 0.500 0.500 0.500
Pt 0.000 0.000 0.500



# 20
Computed, not measured: Ga2SnBi2 at its PBEsol-relaxed geometry at the meta-GGA SCAN level of DFT.

- formation energy (eV per formula unit) = 0.9
- final energy (eV/atom) = -44.9796
- calculated density (kg/m³) = 8815
- total moment (μB/cell) = 0.00

a b c (Å): 3.847 3.847 17.212
angles (deg): 90.00 90.00 90.00
Sites, in units of the cell vectors:
Ga 0.000 0.500 0.250
Ga 0.000 0.500 0.750
Ga 0.500 0.000 0.250
Ga 0.500 0.000 0.750
Sn 0.000 0.000 0.000
Sn 0.500 0.500 0.500
Bi 0.000 0.000 0.395
Bi 0.000 0.000 0.605
Bi 0.500 0.500 0.105
Bi 0.500 0.500 0.895



# 21
Computed, not measured: BaSrSi2 at its PBEsol-relaxed geometry at the meta-GGA SCAN level of DFT.

- ΔE_f (raw) (meV per atom) = 294
- final energy (eV/atom) = -20.1703
- calculated density (kg/m³) = 3954
- total moment (μB/cell) = 0.00
- offset from the most stable computed form (meV/atom) = 764.8

a b c (Å): 8.612 8.612 6.368
angles (deg): 90.00 90.00 90.00
Sites, in units of the cell vectors:
Ba 0.000 0.000 0.000
Ba 0.000 0.500 0.250
Ba 0.500 0.000 0.750
Ba 0.500 0.500 0.500
Sr 0.000 0.000 0.500
Sr 0.000 0.500 0.750
Sr 0.500 0.000 0.250
Sr 0.500 0.500 0.000
Si 0.237 0.750 0.625
Si 0.250 0.237 0.375
Si 0.250 0.263 0.875
Si 0.263 0.750 0.125
Si 0.737 0.250 0.125
Si 0.750 0.737 0.875
Si 0.750 0.763 0.375
Si 0.763 0.250 0.625



# 22
Computed, not measured: Rb2InHgI6 at its PBEsol-relaxed geometry at the meta-GGA SCAN level of DFT.

- ΔE_f (raw) (meV per atom) = -880
- final energy (eV/atom) = -37.2277
- calculated density (kg/m³) = 4960
- total moment (μB/cell) = 0.00

a b c (Å): 8.391 8.391 8.391
angles (deg): 60.00 60.00 60.00
Sites, in units of the cell vectors:
Rb 0.250 0.250 0.250
Rb 0.750 0.750 0.750
In 0.000 0.000 0.000
Hg 0.500 0.500 0.500
I 0.247 0.247 0.753
I 0.247 0.753 0.247
I 0.247 0.753 0.753
I 0.753 0.247 0.247
I 0.753 0.247 0.753
I 0.753 0.753 0.247



# 23
Computed, not measured: CaLa2Tc at its PBEsol-relaxed geometry at the meta-GGA SCAN level of DFT.

- formation energy (eV per formula unit) = 1.7
- final energy (eV/atom) = -32.2989
- calculated density (kg/m³) = 6912
- total moment (μB/cell) = 0.00
- offset from the most stable computed form (meV/atom) = 370.8

a b c (Å): 4.886 4.886 8.370
angles (deg): 90.00 90.00 90.00
Sites, in units of the cell vectors:
Ca 0.000 0.000 0.000
Ca 0.500 0.500 0.500
La 0.000 0.000 0.500
La 0.000 0.500 0.250
La 0.500 0.000 0.750
La 0.500 0.500 0.000
Tc 0.000 0.500 0.750
Tc 0.500 0.000 0.250



# 24
Computed, not measured: Bi4Te3Se3 at its PBEsol-relaxed geometry at the meta-GGA SCAN level of DFT.

- ΔE_f (raw) (meV per atom) = -256
- final energy (eV/atom) = -48.8864
- calculated density (kg/m³) = 7818
- total moment (μB/cell) = 0.00

a b c (Å): 10.199 10.199 7.353
angles (deg): 96.94 96.94 24.04
Sites, in units of the cell vectors:
Bi 0.000 0.000 0.000
Bi 0.186 0.186 0.391
Bi 0.500 0.500 0.490
Bi 0.688 0.688 0.891
Te 0.277 0.277 0.091
Te 0.410 0.410 0.799
Te 0.777 0.777 0.584
Se 0.092 0.092 0.693
Se 0.594 0.594 0.192
Se 0.923 0.923 0.302



# 25
Computed, not measured: FeOsRu2 at its PBEsol-relaxed geometry at the meta-GGA SCAN level of DFT.

- formation energy (eV per formula unit) = 1.1
- final energy (eV/atom) = -39.6461
- calculated density (kg/m³) = 14236
- total moment (μB/cell) = 6.11

a b c (Å): 2.799 4.268 8.751
angles (deg): 90.00 90.00 90.00
Sites, in units of the cell vectors:
Fe 0.000 0.000 0.000
Fe 0.500 0.500 0.500
Os 0.000 0.000 0.500
Os 0.500 0.500 0.000
Ru 0.000 0.500 0.275
Ru 0.000 0.500 0.725
Ru 0.500 0.000 0.225
Ru 0.500 0.000 0.775



# 26
Computed, not measured: Li2SnGe2 at its PBEsol-relaxed geometry at the meta-GGA SCAN level of DFT.

- formation energy (eV per formula unit) = -0.9
- final energy (eV/atom) = -15.9628
- calculated density (kg/m³) = 5150
- total moment (μB/cell) = 0.00

a b c (Å): 7.640 7.640 3.069
angles (deg): 90.00 90.00 90.00
Sites, in units of the cell vectors:
Li 0.182 0.318 0.000
Li 0.318 0.818 0.000
Li 0.682 0.182 0.000
Li 0.818 0.682 0.000
Sn 0.000 0.000 0.500
Sn 0.500 0.500 0.500
Ge 0.116 0.616 0.500
Ge 0.384 0.116 0.500
Ge 0.616 0.884 0.500
Ge 0.884 0.384 0.500